VASP calculation (PBE) on AcTb2NdAs4 after structural relaxation.

## Properties
DOS at the Fermi energy: 0.823 states/eV/f.u.
ΔH_f (0 K): -144 kJ/mol of atoms
DFT total energy: -48.64 eV per formula unit
Crystal system: monoclinic
Calculated volume: 221.71 Å³/cell

a b c (Å): 7.4087 4.2799 7.4139
angles (deg): 90.00 109.42 90.00
With the nearest neighbours (Å) after each atom.
Space group P2/m (No. 10)
Inequivalent atoms, fractional coordinates:
Ac 0.0000 0.0000 0.0000  6 As 3.11-3.12
Tb 0.5000 0.0000 0.5000  6 As 2.94
Tb 0.5000 0.5000 0.0000  6 As 3.00
Nd 0.0000 0.5000 0.5000  6 As 3.06
As 0.2626 0.0000 0.7482  3 Tb 2.94-3.00, 2 Nd 3.06, 1 Ac 3.11
As 0.2675 0.5000 0.2621  3 Tb 2.94-3.00, 1 Nd 3.06, 2 Ac 3.12

VASP calculation (PBE) on Ac2TbNdAs4 after structural relaxation.

## Properties
DOS at the Fermi energy: 0.677 states/eV/f.u.
ΔH_f (0 K): -142 kJ/mol of atoms
DFT total energy: -48.02 eV per formula unit
Crystal system: monoclinic
Calculated volume: 237.77 Å³/cell

a b c (Å): 7.5804 4.3801 7.5928
angles (deg): 90.00 109.42 90.00
With the nearest neighbours (Å) after each atom.
Space group P2/m (No. 10)
Inequivalent atoms, fractional coordinates:
Ac 0.0000 0.0000 0.0000  6 As 3.16
Ac 0.5000 0.5000 0.0000  6 As 3.19
Tb 0.0000 0.5000 0.5000  6 As 3.01
Nd 0.5000 0.0000 0.5000  6 As 3.04
As 0.2402 0.0000 0.7310  2 Tb 3.01, 1 Nd 3.04, 3 Ac 3.16-3.19
As 0.2519 0.5000 0.2667  1 Tb 3.01, 2 Nd 3.04, 3 Ac 3.16-3.19

VASP calculation (PBE) on Ac2NdTe2As2 after structural relaxation.

## Properties
DOS at the Fermi energy: 3.717 states/eV/f.u.
DFT total energy: -36.60 eV per formula unit
Energy relative to the elements, uncorrected: -1.147 eV per atom
Crystal system: tetragonal
Calculated volume: 499.39 Å³/cell

a b c (Å): 5.4375 5.4375 16.8905
angles (deg): 90.00 90.00 90.00
With the nearest neighbours (Å) after each atom.
Space group I4/mmm (No. 139)
Inequivalent atoms, fractional coordinates:
Ac 0.0000 0.0000 0.1213  1 Te 3.27, 4 As 3.40
Nd 0.0000 0.0000 0.5000  4 As 2.72
Te 0.0000 0.0000 0.3149  1 Nd 3.13, 1 Ac 3.27
As 0.0000 0.5000 0.0000  2 Nd 2.72

VASP calculation (PBE) on Ac4NdTh3As8 after structural relaxation.

## Properties
DOS at the Fermi energy: 4.914 states/eV/f.u.
ΔH_f (0 K): -141 kJ/mol of atoms
DFT total energy: -104.05 eV per formula unit
Crystal system: trigonal
Calculated volume: 1440.79 Å³/cell

a b c (Å): 8.7640 8.7640 21.6602
angles (deg): 90.00 90.00 120.00
With the nearest neighbours (Å) after each atom.
Space group R-3m (No. 166, hexagonal axes)
Inequivalent atoms, fractional coordinates:
Ac 0.0000 0.0000 0.0000  6 As 3.17
Ac 0.0000 0.5000 0.0000  6 As 3.19
Nd 0.0000 0.0000 0.5000  6 As 3.05
Th 0.0000 0.5000 0.5000  6 As 3.02-3.03
As 0.0000 0.0000 0.2435  3 Th 3.03, 3 Ac 3.19
As 0.0027 0.5013 0.7561  2 Th 3.02, 1 Nd 3.05, 3 Ac 3.17-3.19

VASP calculation (PBE) on Ac2NdThAs4 after structural relaxation.

## Properties
DOS at the Fermi energy: 1.770 states/eV/f.u.
ΔH_f (0 K): -143 kJ/mol of atoms
DFT total energy: -50.84 eV per formula unit
Crystal system: monoclinic
Calculated volume: 240.82 Å³/cell

a b c (Å): 7.5948 4.3917 7.6505
angles (deg): 90.00 109.31 90.00
With the nearest neighbours (Å) after each atom.
Space group P2/m (No. 10)
Inequivalent atoms, fractional coordinates:
Ac 0.0000 0.0000 0.0000  6 As 3.20
Ac 0.5000 0.5000 0.0000  6 As 3.17
Nd 0.0000 0.5000 0.5000  6 As 3.05
Th 0.5000 0.0000 0.5000  6 As 3.02-3.03
As 0.2478 0.0000 0.7335  1 Th 3.02, 2 Nd 3.05, 3 Ac 3.17-3.20
As 0.2585 0.5000 0.2681  2 Th 3.03, 1 Nd 3.05, 3 Ac 3.17-3.20

VASP calculation (PBE) on AcNd2Th3As6 after structural relaxation.

## Properties
DOS at the Fermi energy: 5.514 states/eV/f.u.
ΔH_f (0 K): -140 kJ/mol of atoms
DFT total energy: -81.25 eV per formula unit
Crystal system: monoclinic
Calculated volume: 678.15 Å³/cell

a b c (Å): 7.4660 12.9121 7.4623
angles (deg): 90.00 109.49 90.00
With the nearest neighbours (Å) after each atom.
Space group C2/m (No. 12)
Inequivalent atoms, fractional coordinates:
Ac 0.0000 0.0000 0.0000  6 As 3.12-3.13
Nd 0.0000 0.3331 0.0000  6 As 3.06-3.07
Th 0.0000 0.1649 0.5000  6 As 2.98-3.03
Th 0.0000 0.5000 0.5000  6 As 2.97-3.03
As 0.2432 0.3298 0.7403  3 Th 2.98-3.03, 2 Nd 3.06-3.07, 1 Ac 3.13
As 0.2451 0.5000 0.2572  3 Th 2.97-3.02, 2 Nd 3.06, 1 Ac 3.12

VASP calculation (PBE) on AcNdTm2As4 after structural relaxation.

## Properties
DOS at the Fermi energy: 0.935 states/eV/f.u.
ΔH_f (0 K): -141 kJ/mol of atoms
DFT total energy: -48.11 eV per formula unit
Crystal system: monoclinic
Calculated volume: 216.02 Å³/cell

a b c (Å): 7.3382 4.2450 7.3549
angles (deg): 90.00 109.46 90.00
With the nearest neighbours (Å) after each atom.
Space group P2/m (No. 10)
Inequivalent atoms, fractional coordinates:
Ac 0.0000 0.0000 0.0000  6 As 3.11
Nd 0.0000 0.5000 0.5000  6 As 3.05
Tm 0.5000 0.0000 0.5000  6 As 2.89
Tm 0.5000 0.5000 0.0000  6 As 2.95
As 0.2674 0.0000 0.7498  3 Tm 2.89-2.95, 2 Nd 3.05, 1 Ac 3.11
As 0.2724 0.5000 0.2638  3 Tm 2.89-2.95, 1 Nd 3.05, 2 Ac 3.11

VASP calculation (PBE) on AcNd2UAs4 after structural relaxation.

## Properties
DOS at the Fermi energy: 7.209 states/eV/f.u.
ΔH_f (0 K): -121 kJ/mol of atoms
DFT total energy: -53.53 eV per formula unit
Crystal system: orthorhombic
Calculated volume: 900.35 Å³/cell

a b c (Å): 8.5870 8.6217 12.1612
angles (deg): 90.00 90.00 90.00
With the nearest neighbours (Å) after each atom.
Space group F222 (No. 22)
Inequivalent atoms, fractional coordinates:
Ac 0.0000 0.0000 0.0000  6 As 3.04-3.11
Nd 0.0000 0.0000 0.5000  6 As 2.97-3.04
Nd 0.2500 0.2500 0.7500  6 As 3.04-3.16
U 0.2500 0.2500 0.2500  6 As 2.92-3.04
As 0.0000 0.0000 0.2554  3 Nd 2.97-3.04, 2 U 3.04, 1 Ac 3.11
As 0.2500 0.2500 0.0102  1 U 2.92, 2 Ac 3.04, 3 Nd 3.04-3.16